First-principles (PBEsol) data for a geometry-optimized RbSn2IrW structure, as listed in the Alexandria database. Values from VASP.

volume = 27.11 A^3/atom
ΔH_f (0 K) = 984 meV/atom
E_tot = -5.651 eV/atom

```
&SYSTEM
  ibrav = 0, nat = 5, ntyp = 4
/
ATOMIC_SPECIES
Rb 85.47 Rb.upf
Sn 118.71 Sn.upf
Ir 192.22 Ir.upf
W 183.84 W.upf
ATOMIC_POSITIONS angstrom
Rb 0.000 0.000 0.000
Sn 0.000 2.588 2.531
Sn 2.588 0.000 2.531
Ir 2.588 2.588 2.531
W 2.588 2.588 0.000
CELL_PARAMETERS angstrom
5.175 0.000 0.000
0.000 5.175 0.000
0.000 0.000 5.061
```

***

First-principles (PBEsol) data for a geometry-optimized Al8Zn3CoO16 structure, as listed in the Alexandria database. Values from VASP.

formation energy from raw total energies = -2.596 eV/atom
volume = 9.47 A^3/atom
E_tot = -7.210 eV/atom

```
&SYSTEM
  ibrav = 0, nat = 28, ntyp = 4
/
ATOMIC_SPECIES
Al 26.98 Al.upf
Zn 65.41 Zn.upf
Co 58.93 Co.upf
O 16.00 O.upf
ATOMIC_POSITIONS angstrom
Al 0.000 1.431 3.038
Al 0.000 4.293 3.038
Al 1.431 0.000 5.058
Al 1.432 2.862 1.013
Al 2.862 1.432 7.082
Al 2.862 4.292 7.082
Al 4.293 0.000 5.058
Al 4.292 2.862 1.013
Zn 0.000 0.000 0.000
Zn 0.000 2.862 6.069
Zn 2.862 0.000 2.026
Co 2.862 2.862 4.048
O 0.000 1.270 4.946
O 0.000 1.592 1.127
O 0.000 4.132 1.127
O 0.000 4.454 4.946
O 1.270 0.000 3.149
O 1.273 2.862 2.925
O 1.592 0.000 6.968
O 1.591 2.862 7.198
O 2.862 1.273 5.171
O 2.862 1.591 0.898
O 2.862 4.133 0.898
O 2.862 4.451 5.171
O 4.132 0.000 6.968
O 4.133 2.862 7.198
O 4.454 0.000 3.149
O 4.451 2.862 2.925
CELL_PARAMETERS angstrom
5.724 0.000 0.000
0.000 5.724 0.000
0.000 0.000 8.095
```

***

First-principles (PBEsol) data for a geometry-optimized TiTl2F6 structure, as listed in the Alexandria database. Values from VASP.

formation energy from raw total energies = -2.737 eV/atom
volume = 15.80 A^3/atom
E_tot = -5.532 eV/atom

```
&SYSTEM
  ibrav = 0, nat = 9, ntyp = 3
/
ATOMIC_SPECIES
Ti 47.87 Ti.upf
Tl 204.38 Tl.upf
F 19.00 F.upf
ATOMIC_POSITIONS angstrom
Ti 0.000 0.000 0.000
Tl 0.000 3.388 3.285
Tl 2.934 1.694 1.483
F 0.000 1.558 1.055
F -1.585 4.303 1.055
F 1.349 0.779 3.713
F 1.585 4.303 1.055
F 4.519 0.779 3.713
F 2.934 3.525 3.713
CELL_PARAMETERS angstrom
5.869 0.000 0.000
-2.934 5.082 0.000
0.000 0.000 4.767
```

***

First-principles (PBEsol) data for a geometry-optimized Tc5Os structure, as listed in the Alexandria database. Values from VASP.

volume = 14.02 A^3/atom
ΔH_f (0 K) = 60 meV/atom
E_tot = -11.365 eV/atom

```
&SYSTEM
  ibrav = 0, nat = 12, ntyp = 2
/
ATOMIC_SPECIES
Tc 98.00 Tc.upf
Os 190.23 Os.upf
ATOMIC_POSITIONS angstrom
Tc 0.000 0.000 0.000
Tc 0.000 1.896 1.914
Tc 0.000 3.837 0.000
Tc 0.000 7.651 0.000
Tc 0.000 9.592 1.914
Tc 1.913 1.907 0.000
Tc 1.913 3.848 1.914
Tc 1.913 5.744 0.000
Tc 1.913 7.640 1.914
Tc 1.913 9.581 0.000
Os 0.000 5.744 1.914
Os 1.913 0.000 1.914
CELL_PARAMETERS angstrom
3.826 0.000 0.000
0.000 11.488 0.000
0.000 0.000 3.827
```